No. 1
First-principles (PBE-GGA) data for a relaxed VGaFeRe2 crystal, as listed in the Alexandria database.

Summary:
E_tot = -7.28 eV per atom
ΔH_f (0 K) = 876 kJ/mol of formula units
V = 89.68 Å³ per cell
crystal system = tetragonal

Cell lengths 4.4547, 4.4547, 4.5191 Å; angles 90.00, 90.00, 90.00 degrees
Last column: nearest neighbours and their distance in Å.
Element x y z (fractional)
1 V 0.0000 0.0000 0.0000  4 Re 2.23, 2 Ga 2.26
2 Ga 0.0000 0.0000 0.5000  2 V 2.26
3 Fe 0.5000 0.5000 0.5000  4 Ga 3.15, 8 Re 3.17
4 Re 0.0000 0.5000 0.0000  2 V 2.23
5 Re 0.5000 0.0000 0.0000  2 V 2.23

---

No. 2
First-principles (PBE-GGA) data for a relaxed Ca2Ag3 crystal, as listed in the Alexandria database.

Summary:
E_tot = -2.75 eV per atom
ΔH_f (0 K) = -113 kJ/mol of formula units
ΔE to the lowest computed polymorph = 0.042 eV per atom
V = 129.33 Å³ per cell
crystal system = trigonal

Cell lengths 7.0612, 7.0612, 7.0612 Å; angles 39.69, 39.69, 39.69 degrees
Last column: nearest neighbours and their distance in Å.
Element x y z (fractional)
1 Ca 0.0908 0.0908 0.0908  9 Ag 3.14-3.40
2 Ca 0.9092 0.9092 0.9092  9 Ag 3.14-3.40
3 Ag 0.3440 0.3440 0.3440  4 Ag 2.80-3.04
4 Ag 0.5000 0.5000 0.5000  2 Ag 3.04, 6 Ca 3.14
5 Ag 0.6560 0.6560 0.6560  4 Ag 2.80-3.04

---

No. 3
First-principles (PBE-GGA) data for a relaxed NbPb crystal, as listed in the Alexandria database.

Summary:
E_tot = -5.88 eV per atom
ΔH_f (0 K) = 194 kJ/mol of formula units
ΔE to the lowest computed polymorph = 0.761 eV per atom
V = 334.50 Å³ per cell
crystal system = cubic

Cell lengths 7.5742, 7.5742, 7.5742 Å; angles 109.47, 109.47, 109.47 degrees
Last column: nearest neighbours and their distance in Å.
Element x y z (fractional)
1 Nb 0.0000 0.0000 0.7830  3 Nb 2.68, 4 Pb 2.82-2.99
2 Nb 0.0000 0.7830 0.0000  3 Nb 2.68, 4 Pb 2.82-2.99
3 Nb 0.2170 0.2170 0.2170  3 Nb 2.68, 4 Pb 2.82-2.99
4 Nb 0.7830 0.0000 0.0000  3 Nb 2.68, 4 Pb 2.82-2.99
5 Pb 0.0000 0.0000 0.4107  4 Nb 2.82-2.99
6 Pb 0.0000 0.4107 0.0000  4 Nb 2.82-2.99
7 Pb 0.4107 0.0000 0.0000  4 Nb 2.82-2.99
8 Pb 0.5893 0.5893 0.5893  4 Nb 2.82-2.99

---

No. 4
First-principles (PBE-GGA) data for a relaxed Co2CuNi2 crystal, as listed in the Alexandria database.

Summary:
E_tot = -5.76 eV per atom
ΔH_f (0 K) = 102 kJ/mol of formula units
ΔE to the lowest computed polymorph = 0.210 eV per atom
V = 117.35 Å³ per cell
crystal system = tetragonal

Cell lengths 6.8504, 6.8504, 2.5006 Å; angles 90.00, 90.00, 90.00 degrees
Last column: nearest neighbours and their distance in Å.
Element x y z (fractional)
1 Co 0.1726 0.3274 0.0000  6 Ni 2.33-2.41, 2 Co 2.50
2 Co 0.3274 0.8274 0.0000  6 Ni 2.33-2.41, 2 Co 2.50
3 Co 0.6726 0.1726 0.0000  6 Ni 2.33-2.41, 2 Co 2.50
4 Co 0.8274 0.6726 0.0000  6 Ni 2.33-2.41, 2 Co 2.50
5 Cu 0.0000 0.0000 0.5000  2 Cu 2.50, 4 Ni 2.71
6 Cu 0.5000 0.5000 0.5000  2 Cu 2.50, 4 Ni 2.71
7 Ni 0.1241 0.6241 0.5000  6 Co 2.33-2.41, 3 Ni 2.41-2.50
8 Ni 0.3759 0.1241 0.5000  6 Co 2.33-2.41, 3 Ni 2.41-2.50
9 Ni 0.6241 0.8759 0.5000  6 Co 2.33-2.41, 3 Ni 2.41-2.50
10 Ni 0.8759 0.3759 0.5000  6 Co 2.33-2.41, 3 Ni 2.41-2.50

---

No. 5
First-principles (PBE-GGA) data for a relaxed Rb2Tl9Hg3 crystal, as listed in the Alexandria database.

Summary:
E_tot = -1.78 eV per atom
ΔH_f (0 K) = -79 kJ/mol of formula units
V = 936.77 Å³ per cell
crystal system = monoclinic

Cell lengths 9.7389, 9.7389, 12.4585 Å; angles 111.62, 111.62, 61.32 degrees
Last column: nearest neighbours and their distance in Å.
Element x y z (fractional)
1 Rb 0.0796 0.2524 0.2370  10 Tl 3.78-4.16, 4 Hg 3.97-4.13
2 Rb 0.2524 0.0796 0.7370  10 Tl 3.78-4.16, 4 Hg 3.97-4.13
3 Rb 0.7476 0.9204 0.2630  10 Tl 3.78-4.16, 4 Hg 3.97-4.13
4 Rb 0.9204 0.7476 0.7630  10 Tl 3.78-4.16, 4 Hg 3.97-4.13
5 Tl 0.0468 0.8408 0.0999  3 Hg 3.21-3.34, 4 Tl 3.39-3.47
6 Tl 0.1592 0.9532 0.4001  3 Hg 3.21-3.34, 4 Tl 3.39-3.47
7 Tl 0.1941 0.3703 0.5745  3 Hg 3.20-3.46, 3 Tl 3.34-3.40
8 Tl 0.2458 0.5580 0.2681  2 Hg 3.22-3.35, 7 Tl 3.33-3.55
9 Tl 0.3248 0.4865 0.9690  2 Hg 3.26-3.62, 5 Tl 3.33-3.55
10 Tl 0.3703 0.1941 0.0745  3 Hg 3.20-3.46, 3 Tl 3.34-3.40
11 Tl 0.3711 0.6289 0.7500  2 Hg 3.21, 4 Tl 3.33-3.38
12 Tl 0.4420 0.7542 0.2319  2 Hg 3.22-3.35, 7 Tl 3.33-3.55
13 Tl 0.4865 0.3248 0.4690  2 Hg 3.26-3.62, 5 Tl 3.33-3.55
14 Tl 0.5135 0.6752 0.5310  2 Hg 3.26-3.62, 5 Tl 3.33-3.55
15 Tl 0.5580 0.2458 0.7681  2 Hg 3.22-3.35, 7 Tl 3.33-3.55
16 Tl 0.6289 0.3711 0.2500  2 Hg 3.21, 4 Tl 3.33-3.38
17 Tl 0.6297 0.8059 0.9255  3 Hg 3.20-3.46, 3 Tl 3.34-3.40
18 Tl 0.6752 0.5135 0.0310  2 Hg 3.26-3.62, 5 Tl 3.33-3.55
19 Tl 0.7542 0.4420 0.7319  2 Hg 3.22-3.35, 7 Tl 3.33-3.55
20 Tl 0.8059 0.6297 0.4255  3 Hg 3.20-3.46, 3 Tl 3.34-3.40
21 Tl 0.8408 0.0468 0.5999  3 Hg 3.21-3.34, 4 Tl 3.39-3.47
22 Tl 0.9532 0.1592 0.9001  3 Hg 3.21-3.34, 4 Tl 3.39-3.47
23 Hg 0.0000 0.5000 0.0000  8 Tl 3.26-3.46
24 Hg 0.1164 0.7106 0.5067  6 Tl 3.20-3.38
25 Hg 0.2894 0.8836 0.9933  6 Tl 3.20-3.38
26 Hg 0.5000 0.0000 0.5000  8 Tl 3.26-3.46
27 Hg 0.7106 0.1164 0.0067  6 Tl 3.20-3.38
28 Hg 0.8836 0.2894 0.4933  6 Tl 3.20-3.38

---

No. 6
First-principles (PBE-GGA) data for a relaxed Zr3Ir2Ru2 crystal, as listed in the Alexandria database.

Summary:
E_tot = -9.22 eV per atom
ΔH_f (0 K) = -253 kJ/mol of formula units
V = 131.03 Å³ per cell
crystal system = monoclinic

Cell lengths 4.5419, 4.5419, 7.7364 Å; angles 106.40, 106.40, 60.30 degrees
Last column: nearest neighbours and their distance in Å.
Element x y z (fractional)
1 Zr 0.0000 0.0000 0.0000  2 Ru 2.66, 6 Ir 2.77-2.78
2 Zr 0.2429 0.2429 0.7202  4 Ru 2.61-2.70, 3 Ir 2.86-2.87
3 Zr 0.7571 0.7571 0.2798  4 Ru 2.61-2.70, 3 Ir 2.86-2.87
4 Ir 0.3737 0.3737 0.1243  7 Zr 2.77-2.96
5 Ir 0.6263 0.6263 0.8757  7 Zr 2.77-2.96
6 Ru 0.1191 0.1191 0.3637  5 Zr 2.61-2.70
7 Ru 0.8809 0.8809 0.6363  5 Zr 2.61-2.70

---

No. 7
First-principles (PBE-GGA) data for a relaxed BaTlPb11 crystal, as listed in the Alexandria database.

Summary:
E_tot = -3.55 eV per atom
ΔH_f (0 K) = -105 kJ/mol of formula units
V = 439.65 Å³ per cell
crystal system = monoclinic

Cell lengths 8.7174, 8.7174, 8.8733 Å; angles 98.03, 98.03, 135.46 degrees
Last column: nearest neighbours and their distance in Å.
Element x y z (fractional)
1 Ba 0.0000 0.0000 0.0000  18 Pb 4.09-4.45, 2 Tl 4.44
2 Tl 0.0000 0.0000 0.5000  10 Pb 3.30-3.51
3 Pb 0.0000 0.5000 0.0000  10 Pb 3.30-3.55
4 Pb 0.0029 0.6481 0.6462  8 Pb 3.36-3.72, 1 Tl 3.51
5 Pb 0.2810 0.4965 0.7839  9 Pb 3.33-3.72, 1 Tl 3.35
6 Pb 0.3519 0.9971 0.3538  8 Pb 3.36-3.72, 1 Tl 3.51
7 Pb 0.4965 0.2810 0.7839  9 Pb 3.33-3.72, 1 Tl 3.35
8 Pb 0.5000 0.0000 0.0000  10 Pb 3.30-3.55
9 Pb 0.5000 0.5000 0.5000  2 Tl 3.30, 8 Pb 3.36-3.53
10 Pb 0.5035 0.7190 0.2161  9 Pb 3.33-3.72, 1 Tl 3.35
11 Pb 0.6481 0.0029 0.6462  8 Pb 3.36-3.72, 1 Tl 3.51
12 Pb 0.7190 0.5035 0.2161  9 Pb 3.33-3.72, 1 Tl 3.35
13 Pb 0.9971 0.3519 0.3538  8 Pb 3.36-3.72, 1 Tl 3.51

---

Number 1: DOS(E_F) 1.846 states/eV per atom. Number 2: DOS(E_F) 0.558 states/eV per atom. Number 3: DOS(E_F) 1.459 states/eV per atom. Number 4: DOS(E_F) 1.521 states/eV per atom. Number 5: DOS(E_F) 0.485 states/eV per atom. Number 6: DOS(E_F) 0.400 states/eV per atom. Number 7: DOS(E_F) 0.452 states/eV per atom.